[1]
Entry from the Alexandria database: a geometry-optimized LuTiNi2 structure (PBE-GGA).

Computed properties:
E above lowest polymorph in meV per atom: 80
E_form in eV/atom: -0.33
Spin magnetization in μB/f.u.: 0.000

```
data_LuTiNi2
_cell_length_a 4.4482
_cell_length_b 4.4482
_cell_length_c 3.1749
_cell_angle_alpha 90.00
_cell_angle_beta 90.00
_cell_angle_gamma 90.00
_space_group_name_H-M_alt 'P 4/m m m'
_space_group_IT_number 123
_space_group_name_Hall '-P 4 2'
loop_
_atom_site_label
_atom_site_type_symbol
_atom_site_fract_x
_atom_site_fract_y
_atom_site_fract_z
Lu1 Lu 0.0000 0.0000 0.0000
Ti1 Ti 0.5000 0.5000 0.0000
Ni1 Ni 0.0000 0.5000 0.5000
```


[2]
Entry from the Alexandria database: a geometry-optimized LuTiZnNi structure (PBE-GGA).

Computed properties:
E_form in eV/atom: -0.21
Spin magnetization in μB/f.u.: 0.806

```
data_LuTiZnNi
_cell_length_a 6.4956
_cell_length_b 6.4956
_cell_length_c 6.4956
_cell_angle_alpha 90.00
_cell_angle_beta 90.00
_cell_angle_gamma 90.00
_space_group_name_H-M_alt 'F -4 3 m'
_space_group_IT_number 216
_space_group_name_Hall 'F -4 2 3'
loop_
_atom_site_label
_atom_site_type_symbol
_atom_site_fract_x
_atom_site_fract_y
_atom_site_fract_z
Lu1 Lu 0.0000 0.0000 0.0000
Ti1 Ti 0.0000 0.0000 0.5000
Zn1 Zn 0.2500 0.2500 0.2500
Ni1 Ni 0.2500 0.2500 0.7500
```


[3]
Entry from the Alexandria database: a geometry-optimized Lu2TlNi structure (PBE-GGA).

Computed properties:
E above lowest polymorph in meV per atom: 98
E_form in eV/atom: -0.29
Spin magnetization in μB/f.u.: 0.000

```
data_Lu2TlNi
_cell_length_a 3.7155
_cell_length_b 3.7155
_cell_length_c 24.6486
_cell_angle_alpha 90.00
_cell_angle_beta 90.00
_cell_angle_gamma 120.00
_space_group_name_H-M_alt 'R -3 m'
_space_group_IT_number 166
_space_group_name_Hall '-R 3 2"'
loop_
_atom_site_label
_atom_site_type_symbol
_atom_site_fract_x
_atom_site_fract_y
_atom_site_fract_z
Lu1 Lu 0.0000 0.0000 0.2300
Tl1 Tl 0.0000 0.0000 0.0000
Ni1 Ni 0.0000 0.0000 0.5000
```


[4]
Entry from the Alexandria database: a geometry-optimized LuTlNi4 structure (PBE-GGA).

Computed properties:
E_form in eV/atom: -0.30
Spin magnetization in μB/f.u.: 0.000

```
data_LuTlNi4
_cell_length_a 7.0342
_cell_length_b 7.0342
_cell_length_c 7.0342
_cell_angle_alpha 90.00
_cell_angle_beta 90.00
_cell_angle_gamma 90.00
_space_group_name_H-M_alt 'F -4 3 m'
_space_group_IT_number 216
_space_group_name_Hall 'F -4 2 3'
loop_
_atom_site_label
_atom_site_type_symbol
_atom_site_fract_x
_atom_site_fract_y
_atom_site_fract_z
Lu1 Lu 0.0000 0.0000 0.0000
Tl1 Tl 0.2500 0.2500 0.7500
Ni1 Ni 0.1247 0.1247 0.3753
```


[5]
Entry from the Alexandria database: a geometry-optimized Lu2TlNi structure (PBE-GGA).

Computed properties:
E above lowest polymorph in meV per atom: 121
E_form in eV/atom: -0.27
Spin magnetization in μB/f.u.: 0.002

```
data_Lu2TlNi
_cell_length_a 7.0798
_cell_length_b 7.0798
_cell_length_c 7.0798
_cell_angle_alpha 90.00
_cell_angle_beta 90.00
_cell_angle_gamma 90.00
_space_group_name_H-M_alt 'F m -3 m'
_space_group_IT_number 225
_space_group_name_Hall '-F 4 2 3'
loop_
_atom_site_label
_atom_site_type_symbol
_atom_site_fract_x
_atom_site_fract_y
_atom_site_fract_z
Lu1 Lu 0.2500 0.2500 0.2500
Tl1 Tl 0.0000 0.0000 0.0000
Ni1 Ni 0.0000 0.0000 0.5000
```


[6]
Entry from the Alexandria database: a geometry-optimized Lu2TlNi structure (PBE-GGA).

Computed properties:
E above lowest polymorph in meV per atom: 130
E_form in eV/atom: -0.26
Spin magnetization in μB/f.u.: 0.000

```
data_Lu2TlNi
_cell_length_a 4.9650
_cell_length_b 4.9650
_cell_length_c 3.6125
_cell_angle_alpha 90.00
_cell_angle_beta 90.00
_cell_angle_gamma 90.00
_space_group_name_H-M_alt 'P 4/m m m'
_space_group_IT_number 123
_space_group_name_Hall '-P 4 2'
loop_
_atom_site_label
_atom_site_type_symbol
_atom_site_fract_x
_atom_site_fract_y
_atom_site_fract_z
Lu1 Lu 0.0000 0.5000 0.0000
Tl1 Tl 0.0000 0.0000 0.5000
Ni1 Ni 0.5000 0.5000 0.5000
```